#w
PmEr6 | GGA-PBE | optimized geometry

a b c (Å): 6.474 6.474 10.906
angles (deg): 90.00 90.00 90.00
Space group P4/nbm (No. 125, origin choice 2)
Symmetry-distinct sites (fractional):
Pm 0.250 0.750 0.000 [2 per cell]
Er 0.081 0.581 0.363 [8 per cell]
Er 0.250 0.250 0.142 [4 per cell]



#x
PmEr6 | GGA-PBE | optimized geometry

a b c (Å): 8.061 8.061 8.061
angles (deg): 90.00 90.00 90.00
Space group Im-3m (No. 229)
Symmetry-distinct sites (fractional):
Pm 0.000 0.000 0.000 [2 per cell]
Er 0.000 0.250 0.500 [12 per cell]



Q: Which of them is the least stable? A: #x.



#w
Pm7Pr3Er | GGA-PBE | optimized geometry

a b c (Å): 6.526 7.825 7.835
angles (deg): 82.08 86.66 86.74
Space group P-1 (No. 2)
Symmetry-distinct sites (fractional):
Pm 0.000 0.000 0.000 [1 per cell]
Pm 0.215 0.259 0.259 [2 per cell]
Pm 0.262 0.587 0.930 [2 per cell]
Pm 0.262 0.930 0.587 [2 per cell]
Pr 0.000 0.327 0.673 [2 per cell]
Pr 0.500 0.500 0.500 [1 per cell]
Er 0.500 0.000 0.000 [1 per cell]



#x
Pm7Pr3Er | GGA-PBE | optimized geometry

a b c (Å): 7.2299 7.2299 8.8293
angles (deg): 90.00 90.00 120.00
Space group P3m1 (No. 156)
Symmetry-distinct sites (fractional):
Pm 0.0000 0.0000 0.0000 [1 per cell]
Pm 0.1663 0.3326 0.6741 [3 per cell]
Pm 0.5006 0.0012 0.0053 [3 per cell]
Pr 0.3341 0.1671 0.3414 [3 per cell]
Er 0.6667 0.3333 0.6808 [1 per cell]



Q: Which of them is the least stable? A: #w.



#w
Pm2Pr4Er5 | GGA-PBE | optimized geometry

a b c (Å): 19.585 5.880 6.402
angles (deg): 90.00 94.73 90.00
Space group C2/m (No. 12)
Symmetry-distinct sites (fractional):
Pm 0.099 0.000 0.046 [4 per cell]
Pr 0.036 0.500 0.765 [4 per cell]
Pr 0.192 0.000 0.573 [4 per cell]
Er 0.000 0.000 0.500 [2 per cell]
Er 0.132 0.500 0.347 [4 per cell]
Er 0.216 0.500 0.892 [4 per cell]



#x
Pm2Pr4Er5 | GGA-PBE | optimized geometry

a b c (Å): 11.222 7.492 9.271
angles (deg): 90.00 106.85 90.00
Space group C2/m (No. 12)
Symmetry-distinct sites (fractional):
Pm 0.142 0.000 0.127 [4 per cell]
Pr 0.176 0.500 0.124 [4 per cell]
Pr 0.185 0.500 0.498 [4 per cell]
Er 0.000 0.000 0.500 [2 per cell]
Er 0.068 0.280 0.779 [8 per cell]



Q: Which of them is the least stable? A: #x.



#w
Pm4Pr5Er | GGA-PBE | optimized geometry

a b c (Å): 3.667 9.699 10.395
angles (deg): 74.45 89.92 79.12
Space group P-1 (No. 2)
Symmetry-distinct sites (fractional):
Pm 0.099 0.301 0.295 [2 per cell]
Pm 0.300 0.899 0.900 [2 per cell]
Pr 0.099 0.302 0.804 [2 per cell]
Pr 0.300 0.900 0.400 [2 per cell]
Pr 0.500 0.500 0.500 [1 per cell]
Er 0.500 0.500 0.000 [1 per cell]



#x
Pm4Pr5Er | GGA-PBE | optimized geometry

a b c (Å): 10.610 10.610 6.297
angles (deg): 90.00 90.00 90.00
Space group I4 (No. 79)
Symmetry-distinct sites (fractional):
Pm 0.001 0.675 0.000 [8 per cell]
Pr 0.000 0.000 0.258 [2 per cell]
Pr 0.188 0.810 0.535 [8 per cell]
Er 0.000 0.000 0.794 [2 per cell]



Q: Which of them is the least stable? A: #x.



#w
Pm6PrEr4 | GGA-PBE | optimized geometry

a b c (Å): 11.0742 11.0742 3.5737
angles (deg): 90.00 90.00 120.00
Space group P-6m2 (No. 187)
Symmetry-distinct sites (fractional):
Pm 0.1828 0.3657 0.0000 [3 per cell]
Pm 0.5210 0.0420 0.5000 [3 per cell]
Pr 0.0000 0.0000 0.5000 [1 per cell]
Er 0.3259 0.1630 0.0000 [3 per cell]
Er 0.3333 0.6667 0.5000 [1 per cell]



#x
Pm6PrEr4 | GGA-PBE | optimized geometry

a b c (Å): 5.849 9.691 25.879
angles (deg): 90.00 90.00 90.00
Space group Cmcm (No. 63)
Symmetry-distinct sites (fractional):
Pm 0.000 0.000 0.000 [4 per cell]
Pm 0.000 0.049 0.250 [4 per cell]
Pm 0.000 0.300 0.599 [8 per cell]
Pm 0.000 0.376 0.181 [8 per cell]
Pr 0.000 0.290 0.750 [4 per cell]
Er 0.000 0.042 0.123 [8 per cell]
Er 0.000 0.349 0.043 [8 per cell]



Q: Which of them is the least stable? A: #w.



#w
Pm2PrEr7 | GGA-PBE | optimized geometry

a b c (Å): 6.144 6.163 9.402
angles (deg): 102.64 109.03 99.62
Space group P-1 (No. 2)
Symmetry-distinct sites (fractional):
Pm 0.203 0.101 0.204 [2 per cell]
Pr 0.000 0.500 0.000 [1 per cell]
Er 0.000 0.000 0.500 [1 per cell]
Er 0.199 0.598 0.698 [2 per cell]
Er 0.400 0.199 0.899 [2 per cell]
Er 0.402 0.701 0.402 [2 per cell]



#x
Pm2PrEr7 | GGA-PBE | optimized geometry

a b c (Å): 8.575 17.429 5.150
angles (deg): 90.00 90.00 90.00
Space group Cmmm (No. 65)
Symmetry-distinct sites (fractional):
Pm 0.000 0.201 0.000 [4 per cell]
Pr 0.000 0.500 0.500 [2 per cell]
Er 0.000 0.000 0.000 [2 per cell]
Er 0.000 0.303 0.500 [4 per cell]
Er 0.180 0.391 0.000 [8 per cell]



Q: Which of them is the least stable? A: #x.